[1]
Entry from Alexandria: FeCu2Sn3S8 at its PBEsol-relaxed geometry (SCAN).

Lattice parameters (Å, degrees): 7.209 7.209 7.209 59.73 59.73 59.73
Fractional positions:
Fe  0.000  0.000  0.000
Cu  0.380  0.380  0.380
Cu  0.620  0.620  0.620
Sn  0.000  0.000  0.500
Sn  0.000  0.500  0.000
Sn  0.500  0.000  0.000
S  0.227  0.227  0.772
S  0.227  0.772  0.227
S  0.228  0.773  0.773
S  0.253  0.253  0.253
S  0.747  0.747  0.747
S  0.772  0.227  0.227
S  0.773  0.228  0.773
S  0.773  0.773  0.228

Calculated values
Size of the total moment = 0.0 μB/f.u.
Formation energy from raw total energies = -604 kJ/mol of formula units
E_tot = -17.113 eV/atom



[2]
Entry from Alexandria: ZnFe4Cu10Sn5S20 at its PBEsol-relaxed geometry (SCAN).

Lattice parameters (Å, degrees): 26.626 26.626 26.626 168.41 168.41 16.42
Fractional positions:
Zn  0.000  0.000  0.000
Fe  0.200  0.200  0.000
Fe  0.399  0.399  0.000
Fe  0.601  0.601  0.000
Fe  0.800  0.800  0.000
Cu  0.051  0.551  0.500
Cu  0.150  0.650  0.500
Cu  0.250  0.750  0.500
Cu  0.350  0.850  0.500
Cu  0.449  0.949  0.500
Cu  0.551  0.051  0.500
Cu  0.650  0.150  0.500
Cu  0.750  0.250  0.500
Cu  0.850  0.350  0.500
Cu  0.949  0.449  0.500
Sn  0.101  0.101  0.000
Sn  0.300  0.300  0.000
Sn  0.500  0.500  0.000
Sn  0.700  0.700  0.000
Sn  0.899  0.899  0.000
S  0.003  0.543  0.000
S  0.056  0.056  0.460
S  0.143  0.603  0.000
S  0.194  0.194  0.536
S  0.212  0.733  0.000
S  0.267  0.267  0.480
S  0.342  0.806  0.000
S  0.397  0.397  0.540
S  0.404  0.944  0.000
S  0.457  0.457  0.460
S  0.543  0.003  0.000
S  0.596  0.596  0.540
S  0.603  0.143  0.000
S  0.658  0.658  0.464
S  0.733  0.212  0.000
S  0.788  0.788  0.520
S  0.806  0.342  0.000
S  0.857  0.857  0.460
S  0.944  0.404  0.000
S  0.997  0.997  0.540

Calculated values
Size of the total moment = 15.9 μB/f.u.
Formation energy from raw total energies = -1761 kJ/mol of formula units
E_tot = -15.711 eV/atom
D(E_F) = 4.3 states/eV/f.u.